Entry 1:
Density functional theory data (PBE-GGA) for a relaxed SmHo2Er2 crystal.

Unit cell a=3.494 b=5.675 c=8.602 alpha=109.28 beta=90.00 gamma=90.00
Atoms (fractional coordinates):
1 Ho 0.700 0.591 0.183
2 Ho 0.200 0.400 0.799
3 Er 0.200 0.781 0.561
4 Er 0.700 0.210 0.421
5 Sm 0.200 0.018 0.036

- D(E_F) (states/eV/f.u.) = 8.84
- total DFT energy (no corrections) (eV for the cell shown) = -22.40
- ΔE_f (eV per atom) = 0.121
- V (Å³/f.u.) = 161.0
- total magnetic moment (Bohr magnetons per cell) = 0.00
- distance to the lowest polymorph of the same formula (meV per atom) = 35

Entry 2:
Density functional theory data (PBE-GGA) for a relaxed MoPbAu2 crystal.

Unit cell a=6.200 b=6.200 c=4.925 alpha=66.33 beta=66.33 gamma=27.94
Atoms (fractional coordinates):
1 Au 0.971 0.971 0.029
2 Au 0.529 0.529 0.471
3 Mo 0.250 0.250 0.250
4 Pb 0.750 0.750 0.750

- D(E_F) (states/eV/f.u.) = 1.94
- total DFT energy (no corrections) (eV for the cell shown) = -19.48
- ΔE_f (eV per atom) = 0.404
- V (Å³/f.u.) = 80.8
- total magnetic moment (Bohr magnetons per cell) = 0.69

Entry 3:
Density functional theory data (PBE-GGA) for a relaxed Ba2HoBi2O6 crystal.

Unit cell a=6.491 b=6.413 c=7.105 alpha=115.07 beta=90.00 gamma=120.40
Atoms (fractional coordinates):
1 O 0.704 0.409 0.503
2 O 0.665 0.844 0.225
3 O 0.335 0.156 0.775
4 O 0.296 0.591 0.497
5 O 0.179 0.844 0.225
6 O 0.821 0.156 0.775
7 Ho 0.500 0.000 0.500
8 Ba 0.708 0.416 0.137
9 Ba 0.292 0.584 0.863
10 Bi 0.066 0.132 0.266
11 Bi 0.934 0.868 0.734

- D(E_F) (states/eV/f.u.) = 4.51
- total DFT energy (no corrections) (eV for the cell shown) = -68.41
- formation energy without anion corrections (eV/atom) = -2.043
- V (Å³/f.u.) = 222.2
- total magnetic moment (Bohr magnetons per cell) = 0.29

Entry 4:
Density functional theory data (PBE-GGA) for a relaxed CoTe6Ir2 crystal.

Unit cell a=5.434 b=11.775 c=11.775 alpha=120.00 beta=90.00 gamma=90.00
Atoms (fractional coordinates):
1 Te 0.276 0.551 0.449
2 Te 0.244 0.891 0.109
3 Te 0.756 0.109 0.891
4 Te 0.276 0.898 0.449
5 Te 0.731 0.783 0.566
6 Te 0.244 0.217 0.109
7 Te 0.269 0.217 0.783
8 Te 0.724 0.102 0.551
9 Te 0.724 0.449 0.898
10 Te 0.756 0.109 0.217
11 Te 0.269 0.566 0.783
12 Te 0.276 0.551 0.102
13 Te 0.731 0.434 0.217
14 Te 0.269 0.217 0.434
15 Te 0.724 0.449 0.551
16 Te 0.731 0.783 0.217
17 Te 0.756 0.783 0.891
18 Te 0.244 0.891 0.783
19 Ir 0.000 0.000 0.337
20 Ir 0.000 0.663 0.663
21 Ir 0.000 0.337 0.000
22 Ir 0.000 0.000 0.663
23 Ir 0.000 0.663 0.000
24 Ir 0.000 0.337 0.337
25 Co 0.000 0.000 0.000
26 Co 0.509 0.667 0.333
27 Co 0.491 0.333 0.667

- D(E_F) (states/eV/f.u.) = 5.35
- total DFT energy (no corrections) (eV for the cell shown) = -135.97
- formation energy without anion corrections (eV/atom) = -0.183
- V (Å³/f.u.) = 217.5
- total magnetic moment (Bohr magnetons per cell) = 0.00
- distance to the lowest polymorph of the same formula (meV per atom) = 0

Entry 5:
Density functional theory data (PBE-GGA) for a relaxed Si2AsOs crystal.

Unit cell a=4.311 b=4.311 c=5.177 alpha=81.07 beta=81.07 gamma=41.22
Atoms (fractional coordinates):
1 Si 0.516 0.516 0.448
2 Si 0.984 0.984 0.052
3 As 0.750 0.750 0.750
4 Os 0.250 0.250 0.250

- D(E_F) (states/eV/f.u.) = 2.01
- total DFT energy (no corrections) (eV for the cell shown) = -25.76
- formation energy without anion corrections (eV/atom) = 0.241
- V (Å³/f.u.) = 62.5
- total magnetic moment (Bohr magnetons per cell) = 0.00

Entry 6:
Density functional theory data (PBE-GGA) for a relaxed Pa2Te2Cl crystal.

Unit cell a=4.274 b=4.274 c=8.690 alpha=104.23 beta=104.23 gamma=90.00
Atoms (fractional coordinates):
1 Te 0.363 0.363 0.727
2 Te 0.637 0.637 0.273
3 Cl 0.000 0.000 0.000
4 Pa 0.830 0.830 0.659
5 Pa 0.170 0.170 0.341

- D(E_F) (states/eV/f.u.) = 9.90
- total DFT energy (no corrections) (eV for the cell shown) = -31.96
- formation energy without anion corrections (eV/atom) = -0.968
- V (Å³/f.u.) = 148.8
- total magnetic moment (Bohr magnetons per cell) = 2.05

| no. | density (g/cm3) |
| --- | --- |
| 1 | 8.403 |
| 2 | 14.331 |
| 3 | 7.127 |
| 4 | 9.230 |
| 5 | 8.536 |
| 6 | 8.399 |